Entry 1:
Entry from Alexandria via LeMat-Bulk: an optimized crystal structure of TlH4Pt (PBE).

a b c (Å): 5.3856 6.7328 5.6702
angles (deg): 53.58 82.37 77.08
Sites, in units of the cell vectors:
Tl: 0.7500 0.3741 0.2519
Tl: 0.2500 0.6259 0.7481
H: 0.6770 0.3168 0.8742
H: 0.0416 0.1234 0.7664
H: 0.8230 0.8089 0.8742
H: 0.4584 0.1102 0.7664
H: 0.5416 0.8898 0.2336
H: 0.1770 0.1911 0.1258
H: 0.9584 0.8766 0.2336
H: 0.3230 0.6832 0.1258
Pt: 0.2500 0.9490 0.1021
Pt: 0.7500 0.0510 0.8979

DFT total energy (eV per atom): -3.621
SG: No. 15
Crystal system: monoclinic

---

Entry 2:
Entry from Alexandria via LeMat-Bulk: an optimized crystal structure of Tl2HPt (PBE).

a b c (Å): 4.7675 4.7675 4.7675
angles (deg): 60.00 60.00 60.00
Site moments in Bohr magnetons follow the coordinates.
Sites, in units of the cell vectors:
H: 0.0000 0.0000 0.0000  0.10
Tl: 0.2500 0.2500 0.2500  0.00
Tl: 0.7500 0.7500 0.7500  0.00
Pt: 0.5000 0.5000 0.5000  0.04

DFT total energy (eV per atom): -3.131
SG: No. 225
Crystal system: cubic

---

Entry 3:
Entry from Alexandria via LeMat-Bulk: an optimized crystal structure of TlHPt (PBE).

a b c (Å): 3.8366 8.0281 8.0235
angles (deg): 120.61 90.00 90.00
Sites, in units of the cell vectors:
H: 0.2500 0.1130 0.6567
H: 0.2500 0.6130 0.1567
H: 0.7500 0.3870 0.8433
H: 0.7500 0.8870 0.3433
Tl: 0.2500 0.7953 0.9563
Tl: 0.2500 0.2953 0.4563
Tl: 0.7500 0.7047 0.5437
Tl: 0.7500 0.2047 0.0437
Pt: 0.2500 0.3771 0.8750
Pt: 0.7500 0.6229 0.1250
Pt: 0.2500 0.8772 0.3750
Pt: 0.7500 0.1228 0.6250

DFT total energy (eV per atom): -3.960
SG: No. 11
Crystal system: monoclinic

---

What is the formula in the third record?
TlHPt

---

Which of these has the lowest DFT total energy?
TlHPt